ZrScCoRe: optimized geometry, PBE.

uncorrected energy	-8.7998	eV per atom
symmetry	F-43m (216)

Structure (POSCAR):
```
ZrScCoRe
1.0
0.000 3.223 3.223
3.223 0.000 3.223
3.223 3.223 0.000
Zr Sc Co Re
1 1 1 1
Direct
0.000 0.000 0.000 Zr
0.500 0.500 0.500 Sc
0.250 0.250 0.250 Co
0.750 0.750 0.750 Re
```

ScMoBr2: optimized geometry, PBE.

E_form (uncorrected)	0.104	eV/atom
uncorrected energy	-5.0229	eV per atom
symmetry	I-42d (122)
excess energy over the best structure of this formula in the dataset	463	meV per atom

Structure (POSCAR):
```
ScMoBr2
1.0
-2.289 2.289 8.498
2.289 -2.289 8.498
2.289 2.289 -8.498
Sc Mo Br
2 2 4
Direct
0.000 0.000 0.000 Sc
0.750 0.250 0.500 Sc
0.250 0.750 0.500 Mo
0.500 0.500 0.000 Mo
0.139 0.625 0.014 Br
0.375 0.389 0.514 Br
0.611 0.125 0.986 Br
0.875 0.861 0.486 Br
```

MnMo2Cl: optimized geometry, PBE.

E_form (uncorrected)	0.586	eV/atom
uncorrected energy	-7.5832	eV per atom
symmetry	Cm (8)
excess energy over the best structure of this formula in the dataset	415	meV per atom

Structure (POSCAR):
```
MnMo2Cl
1.0
4.989 -1.448 0.000
4.989 1.448 0.000
-0.537 0.000 4.029
Mn Mo Cl
1 2 1
Direct
0.000 0.000 0.000 Mn
0.419 0.419 0.547 Mo
0.729 0.729 0.868 Mo
0.174 0.174 0.386 Cl
```

Mn4CoSe: optimized geometry, PBE.

E_form (uncorrected)	0.526	eV/atom
uncorrected energy	-7.3523	eV per atom
symmetry	F-43m (216)

Structure (POSCAR):
```
Mn4CoSe
1.0
0.000 3.377 3.377
3.377 0.000 3.377
3.377 3.377 0.000
Mn Co Se
4 1 1
Direct
0.124 0.124 0.124 Mn
0.124 0.124 0.627 Mn
0.124 0.627 0.124 Mn
0.627 0.124 0.124 Mn
0.750 0.750 0.750 Co
0.500 0.500 0.500 Se
```

Sr2TmCd3In4: optimized geometry, PBE.

uncorrected energy	-2.4481	eV per atom
symmetry	P-4m2 (115)

Structure (POSCAR):
```
Sr2TmCd3In4
1.0
4.681 0.000 0.000
0.000 4.681 0.000
0.000 0.000 13.264
Sr Tm Cd In
2 1 3 4
Direct
0.000 0.500 0.236 Sr
0.500 0.000 0.764 Sr
0.000 0.000 0.500 Tm
0.000 0.500 0.861 Cd
0.500 0.000 0.139 Cd
0.500 0.500 0.500 Cd
0.000 0.000 0.000 In
0.000 0.500 0.649 In
0.500 0.000 0.351 In
0.500 0.500 0.000 In
```

ZrSeSCl2: optimized geometry, PBE.

E_form (uncorrected)	0.396	eV/atom
uncorrected energy	-3.5744	eV per atom
symmetry	P4/mmm (123)
excess energy over the best structure of this formula in the dataset	1035	meV per atom

Structure (POSCAR):
```
ZrSeSCl2
1.0
5.041 0.000 0.000
0.000 5.041 0.000
0.000 0.000 4.911
Zr Se S Cl
1 1 1 2
Direct
0.000 0.000 0.000 Zr
0.500 0.500 0.500 Se
0.500 0.500 0.000 S
0.000 0.500 0.500 Cl
0.500 0.000 0.500 Cl
```

- What is the uncorrected energy in the fourth record?
  -7.3523 eV per atom